[1]
The following is a DFT calculation (PBE) of a relaxed structure of RbSnCl2.

Cell lengths 9.122, 9.122, 9.122 Å; angles 30.26, 30.26, 30.26 degrees
Positions (direct):
Sn (0.500, 0.500, 0.500)
Rb (0.000, 0.000, 0.000)
Cl (0.881, 0.881, 0.881)
Cl (0.119, 0.119, 0.119)

Properties
DOS at the Fermi energy   2.4 states/eV per cell
Space-group type   R-3m, No. 166
VASP energy   -2.991 eV per atom

***

[2]
The following is a DFT calculation (PBE) of a relaxed structure of Co2AgBr5.

Cell lengths 3.908, 7.077, 19.826 Å; angles 90.00, 90.00, 106.03 degrees
Site moments in Bohr magnetons follow the coordinates.
Positions (direct):
Co (0.269, 0.539, 0.638)  2.39
Co (0.731, 0.461, 0.362)  2.39
Co (0.731, 0.461, 0.138)  2.39
Co (0.269, 0.539, 0.862)  2.39
Ag (0.018, 0.036, 0.750)  0.04
Ag (0.982, 0.964, 0.250)  0.04
Br (0.648, 0.295, 0.250)  0.11
Br (0.352, 0.705, 0.750)  0.11
Br (0.170, 0.339, 0.081)  0.18
Br (0.830, 0.661, 0.919)  0.18
Br (0.830, 0.661, 0.581)  0.18
Br (0.170, 0.339, 0.419)  0.18
Br (0.097, 0.194, 0.631)  0.12
Br (0.903, 0.806, 0.369)  0.12
Br (0.097, 0.194, 0.869)  0.12
Br (0.903, 0.806, 0.131)  0.12

Properties
DOS at the Fermi energy   1.7 states/eV per cell
Space-group type   Cmcm, No. 63
VASP energy   -3.432 eV per atom

***

[3]
The following is a DFT calculation (PBE) of a relaxed structure of BeV2Co5B2.

Cell lengths 2.720, 8.383, 8.383 Å; angles 90.00, 90.00, 90.00 degrees
Site moments in Bohr magnetons follow the coordinates.
Positions (direct):
Be (0.000, 0.000, 0.000)  -0.01
Be (0.000, 0.500, 0.500)  -0.01
V (0.000, 0.677, 0.177)  0.12
V (0.000, 0.323, 0.823)  0.12
V (0.000, 0.177, 0.323)  0.12
V (0.000, 0.823, 0.677)  0.12
Co (0.500, 0.209, 0.065)  0.12
Co (0.500, 0.791, 0.935)  0.12
Co (0.500, 0.065, 0.791)  0.12
Co (0.500, 0.709, 0.435)  0.12
Co (0.500, 0.935, 0.209)  0.12
Co (0.500, 0.291, 0.565)  0.12
Co (0.500, 0.565, 0.709)  0.12
Co (0.500, 0.435, 0.291)  0.12
Co (0.500, 0.500, 0.000)  0.23
Co (0.500, 0.000, 0.500)  0.23
B (0.000, 0.126, 0.626)  -0.01
B (0.000, 0.874, 0.374)  -0.01
B (0.000, 0.626, 0.874)  -0.01
B (0.000, 0.374, 0.126)  -0.01

Properties
DOS at the Fermi energy   18.9 states/eV per cell
Space-group type   P4/mbm, No. 127
VASP energy   -7.472 eV per atom

***

[4]
The following is a DFT calculation (PBE) of a relaxed structure of Be3NbSe.

Cell lengths 4.202, 4.202, 4.202 Å; angles 90.00, 90.00, 90.00 degrees
Positions (direct):
Be (0.000, 0.500, 0.000)
Be (0.000, 0.000, 0.500)
Be (0.500, 0.000, 0.000)
Nb (0.500, 0.500, 0.500)
Se (0.000, 0.000, 0.000)

Properties
DOS at the Fermi energy   4.7 states/eV per cell
Space-group type   Pm-3m, No. 221
VASP energy   -3.856 eV per atom

***

[5]
The following is a DFT calculation (PBE) of a relaxed structure of Zr4BeAu.

Cell lengths 5.411, 6.657, 6.657 Å; angles 90.00, 90.00, 90.00 degrees
Positions (direct):
Zr (0.000, 0.172, 0.645)
Zr (0.000, 0.828, 0.355)
Zr (0.000, 0.355, 0.172)
Zr (0.000, 0.645, 0.828)
Zr (0.500, 0.828, 0.645)
Zr (0.500, 0.172, 0.355)
Zr (0.500, 0.645, 0.172)
Zr (0.500, 0.355, 0.828)
Be (0.250, 0.500, 0.500)
Be (0.750, 0.500, 0.500)
Au (0.250, 0.000, 0.000)
Au (0.750, 0.000, 0.000)

Properties
DOS at the Fermi energy   18.0 states/eV per cell
Space-group type   P4/mcc, No. 124
VASP energy   -7.045 eV per atom

***

[6]
The following is a DFT calculation (PBE) of a relaxed structure of BaTa.

Cell lengths 4.970, 4.970, 4.970 Å; angles 60.00, 60.00, 60.00 degrees
Positions (direct):
Ba (0.000, 0.000, 0.000)
Ta (0.750, 0.750, 0.750)

Properties
DOS at the Fermi energy   4.3 states/eV per cell
Space-group type   F-43m, No. 216
VASP energy   -3.830 eV per atom

***

[7]
The following is a DFT calculation (PBE) of a relaxed structure of La3Pr3Nd8.

Cell lengths 5.850, 10.052, 10.052 Å; angles 103.18, 73.08, 73.08 degrees
Positions (direct):
La (0.500, 0.500, 0.500)
La (0.806, 0.194, 0.194)
La (0.194, 0.806, 0.806)
Pr (0.500, 0.000, 0.000)
Pr (0.000, 0.815, 0.185)
Pr (0.000, 0.185, 0.815)
Nd (0.660, 0.118, 0.561)
Nd (0.340, 0.882, 0.439)
Nd (0.660, 0.561, 0.118)
Nd (0.340, 0.439, 0.882)
Nd (0.837, 0.766, 0.560)
Nd (0.163, 0.234, 0.440)
Nd (0.837, 0.560, 0.766)
Nd (0.163, 0.440, 0.234)

Properties
DOS at the Fermi energy   20.4 states/eV per cell
Space-group type   Immm, No. 71
VASP energy   -4.709 eV per atom

***

[8]
The following is a DFT calculation (PBE) of a relaxed structure of LiCeMg30O32.

Cell lengths 8.601, 8.603, 8.603 Å; angles 90.00, 90.00, 90.00 degrees
Site moments in Bohr magnetons follow the coordinates.
Positions (direct):
Li (0.000, 0.000, 0.000)  0.00
Ce (0.000, 0.500, 0.500)  0.84
Mg (0.000, 0.500, 0.000)  0.00
Mg (0.000, 0.000, 0.500)  0.00
Mg (0.500, 0.000, 0.000)  0.00
Mg (0.500, 0.500, 0.000)  0.00
Mg (0.500, 0.000, 0.500)  0.00
Mg (0.500, 0.500, 0.500)  0.00
Mg (0.000, 0.238, 0.238)  0.00
Mg (0.000, 0.762, 0.238)  0.00
Mg (0.000, 0.238, 0.762)  0.00
Mg (0.000, 0.762, 0.762)  0.00
Mg (0.500, 0.248, 0.248)  0.00
Mg (0.500, 0.752, 0.248)  0.00
Mg (0.500, 0.248, 0.752)  0.00
Mg (0.500, 0.752, 0.752)  0.00
Mg (0.248, 0.245, 0.000)  0.00
Mg (0.248, 0.755, 0.000)  0.00
Mg (0.258, 0.241, 0.500)  0.00
Mg (0.258, 0.759, 0.500)  0.00
Mg (0.752, 0.245, 0.000)  0.00
Mg (0.752, 0.755, 0.000)  0.00
Mg (0.742, 0.241, 0.500)  0.00
Mg (0.742, 0.759, 0.500)  0.00
Mg (0.248, 0.000, 0.245)  0.00
Mg (0.258, 0.500, 0.241)  0.00
Mg (0.248, 0.000, 0.755)  0.00
Mg (0.258, 0.500, 0.759)  0.00
Mg (0.752, 0.000, 0.245)  0.00
Mg (0.742, 0.500, 0.241)  0.00
Mg (0.752, 0.000, 0.755)  0.00
Mg (0.742, 0.500, 0.759)  0.00
O (0.258, 0.000, 0.000)  0.00
O (0.254, 0.500, 0.000)  0.00
O (0.254, 0.000, 0.500)  0.00
O (0.266, 0.500, 0.500)  -0.01
O (0.742, 0.000, 0.000)  0.00
O (0.746, 0.500, 0.000)  0.00
O (0.746, 0.000, 0.500)  0.00
O (0.734, 0.500, 0.500)  -0.01
O (0.250, 0.251, 0.251)  0.00
O (0.250, 0.749, 0.251)  0.00
O (0.250, 0.251, 0.749)  0.00
O (0.250, 0.749, 0.749)  0.00
O (0.750, 0.251, 0.251)  0.00
O (0.750, 0.749, 0.251)  0.00
O (0.750, 0.251, 0.749)  0.00
O (0.750, 0.749, 0.749)  0.00
O (0.000, 0.255, 0.000)  0.00
O (0.000, 0.745, 0.000)  0.00
O (0.000, 0.236, 0.500)  -0.01
O (0.000, 0.764, 0.500)  -0.01
O (0.500, 0.251, 0.000)  0.00
O (0.500, 0.749, 0.000)  0.00
O (0.500, 0.248, 0.500)  0.00
O (0.500, 0.752, 0.500)  0.00
O (0.000, 0.000, 0.255)  0.00
O (0.000, 0.500, 0.236)  -0.01
O (0.000, 0.000, 0.745)  0.00
O (0.000, 0.500, 0.764)  -0.01
O (0.500, 0.000, 0.251)  0.00
O (0.500, 0.500, 0.248)  0.00
O (0.500, 0.000, 0.749)  0.00
O (0.500, 0.500, 0.752)  0.00

Properties
DOS at the Fermi energy   4.2 states/eV per cell
Space-group type   P4/mmm, No. 123
VASP energy   -6.021 eV per atom

***

[9]
The following is a DFT calculation (PBE) of a relaxed structure of As2RuBr.

Cell lengths 4.854, 4.854, 3.046 Å; angles 90.00, 90.00, 90.00 degrees
Positions (direct):
Ru (0.000, 0.500, 0.500)
As (0.000, 0.000, 0.000)
As (0.500, 0.500, 0.000)
Br (0.500, 0.000, 0.500)

Properties
DOS at the Fermi energy   4.6 states/eV per cell
Space-group type   P4/mmm, No. 123
VASP energy   -4.310 eV per atom

***

[10]
The following is a DFT calculation (PBE) of a relaxed structure of CuHgCl4.

Cell lengths 7.187, 7.187, 8.958 Å; angles 90.00, 90.00, 90.00 degrees
Site moments in Bohr magnetons follow the coordinates.
Positions (direct):
Cu (0.000, 0.500, 0.000)  0.50
Cu (0.500, 0.000, 0.500)  0.50
Hg (0.000, 0.000, 0.500)  -0.01
Hg (0.000, 0.000, 0.000)  -0.01
Cl (0.722, 0.227, 0.500)  0.10
Cl (0.773, 0.278, 0.000)  0.10
Cl (0.722, 0.773, 0.500)  0.10
Cl (0.227, 0.722, 0.000)  0.10
Cl (0.278, 0.773, 0.500)  0.10
Cl (0.227, 0.278, 0.000)  0.10
Cl (0.773, 0.722, 0.000)  0.10
Cl (0.278, 0.227, 0.500)  0.10

Properties
DOS at the Fermi energy   0.5 states/eV per cell
Space-group type   P4_2/mmc, No. 131
VASP energy   -2.432 eV per atom

***

[11]
The following is a DFT calculation (PBE) of a relaxed structure of K3Be2OsO6.

Cell lengths 5.469, 5.469, 6.767 Å; angles 90.00, 90.00, 120.00 degrees
Site moments in Bohr magnetons follow the coordinates.
Positions (direct):
K (0.333, 0.667, 0.737)  0.01
K (0.667, 0.333, 0.263)  0.01
K (0.000, 0.000, 0.000)  0.01
Be (0.667, 0.333, 0.672)  0.01
Be (0.333, 0.667, 0.328)  0.01
Os (0.000, 0.000, 0.500)  2.00
O (0.660, 0.830, 0.324)  0.11
O (0.170, 0.340, 0.324)  0.11
O (0.170, 0.830, 0.324)  0.11
O (0.830, 0.660, 0.676)  0.11
O (0.340, 0.170, 0.676)  0.11
O (0.830, 0.170, 0.676)  0.11

Properties
DOS at the Fermi energy   1.9 states/eV per cell
Space-group type   P-3m1, No. 164
VASP energy   -6.019 eV per atom

***

[12]
The following is a DFT calculation (PBE) of a relaxed structure of Sr2CuH12Rh3.

Cell lengths 6.086, 6.086, 6.086 Å; angles 62.68, 62.68, 62.68 degrees
Positions (direct):
Sr (0.628, 0.628, 0.628)
Sr (0.372, 0.372, 0.372)
Cu (0.000, 0.000, 0.000)
H (0.334, 0.334, 0.908)
H (0.908, 0.908, 0.341)
H (0.341, 0.908, 0.908)
H (0.908, 0.334, 0.334)
H (0.908, 0.341, 0.908)
H (0.334, 0.908, 0.334)
H (0.666, 0.666, 0.092)
H (0.092, 0.092, 0.659)
H (0.659, 0.092, 0.092)
H (0.092, 0.666, 0.666)
H (0.092, 0.659, 0.092)
H (0.666, 0.092, 0.666)
Rh (0.500, 0.000, 0.000)
Rh (0.000, 0.500, 0.000)
Rh (0.000, 0.000, 0.500)

Properties
DOS at the Fermi energy   3.6 states/eV per cell
Space-group type   R-3m, No. 166
VASP energy   -4.180 eV per atom

***

[13]
The following is a DFT calculation (PBE) of a relaxed structure of SrTl2InSn.

Cell lengths 3.972, 7.966, 10.369 Å; angles 90.00, 90.00, 104.44 degrees
Positions (direct):
Sr (0.843, 0.687, 0.750)
Sr (0.157, 0.313, 0.250)
Tl (0.184, 0.368, 0.908)
Tl (0.816, 0.632, 0.092)
Tl (0.184, 0.368, 0.592)
Tl (0.816, 0.632, 0.408)
In (0.000, 0.000, 0.000)
In (0.000, 0.000, 0.500)
Sn (0.538, 0.076, 0.750)
Sn (0.462, 0.924, 0.250)

Properties
DOS at the Fermi energy   5.4 states/eV per cell
Space-group type   Cmcm, No. 63
VASP energy   -2.774 eV per atom